KHW3, optimized geometry, DFT PBE; symmetry = Pm-3m; Fermi-level density of states = 3.89 states/eV/cell; E = -4.230 eV per atom
1.0
-0.081 1.441 -4.289
4.217 -1.529 -0.593
-1.638 -4.008 -1.316
K H W
1 1 3
Cartesian
0.000 0.000 0.000
1.250 -2.048 -3.099
2.109 -0.764 -0.296
-0.819 -2.004 -0.658
-0.040 0.721 -2.144

=====

ErSbRh2, optimized geometry, DFT PBE; ΔE_f (raw) = -0.753 eV/atom; symmetry = Fm-3m; Fermi-level density of states = 4.04 states/eV/cell; E = -6.600 eV per atom
1.0
4.683 0.000 0.000
2.342 4.056 0.000
2.342 1.352 3.824
Rh Er Sb
2 1 1
Cartesian
0.000 0.000 0.000
4.683 2.704 1.912
7.025 4.056 2.868
2.342 1.352 0.956

=====

Mg2MnSiP, optimized geometry, DFT PBE; ΔE_f (raw) = 1.167 eV/atom; symmetry = P4/mmm; Fermi-level density of states = 6.70 states/eV/cell; E = -3.471 eV per atom
1.0
-1.884 4.453 -0.911
-4.450 -1.605 1.353
0.856 1.239 4.284
Mn Mg Si P
1 2 1 1
Cartesian
-2.739 2.043 2.363
-2.225 -0.803 0.677
-0.942 2.227 -0.456
0.000 0.000 0.000
0.428 0.619 2.142